Record 1
Computed, not measured: a relaxed Ce2RhI crystal at the PBE-GGA level of DFT.

```
4
Lattice="2.0673 1.1936 8.0119 -2.0673 1.1936 8.0119 0.0000 -2.3871 8.0119" Properties=species:S:1:pos:R:3 pbc="T T T"
Ce 0.0000 0.0000 5.5158
Ce 0.0000 0.0000 18.5200
Rh 0.0000 0.0000 12.0179
I 0.0000 0.0000 0.0000
```

Results
Crystal system: trigonal
ρ in Mg/m³: 7.14
Magnetic moment in μB/atom: 0.49
Raw formation energy in eV per atom: -0.839

---

Record 2
Computed, not measured: a relaxed Ce4RhI5 crystal at the PBE-GGA level of DFT.

```
10
Lattice="9.7437 -2.0899 0.0000 9.7437 2.0899 0.0000 -2.0529 0.0000 8.9427" Properties=species:S:1:pos:R:3 pbc="T T T"
Ce -0.5781 0.0000 2.6234
Ce 5.9347 0.0000 3.8070
Ce 11.4998 0.0000 5.1356
Ce 18.0126 0.0000 6.3193
Rh 8.7172 0.0000 4.4713
I 1.5222 0.0000 7.5761
I 2.7297 0.0000 2.8251
I 9.7437 0.0000 0.0000
I 14.7048 0.0000 6.1175
I 15.9123 0.0000 1.3665
```

Results
Crystal system: monoclinic
ρ in Mg/m³: 5.92
Magnetic moment in μB/atom: 0.51
Raw formation energy in eV per atom: -1.074